No. 1
LaTmNiOs | GGA-PBE | optimized geometry

## Properties
ΔH_f (0 K) in meV per atom: -188.3
Calculated total energy in eV/atom: -6.7908

a b c (Å): 6.9137 6.9137 6.9137
angles (deg): 90.00 90.00 90.00
Closest atoms and distances in Å follow each position.
Space group F-43m (No. 216)
Inequivalent atoms, fractional coordinates:
La 0.0000 0.0000 0.0000 x4  4 Ni 2.99, 4 Os 2.99
Tm 0.0000 0.0000 0.5000 x4  4 Os 2.99, 4 Ni 2.99
Ni 0.2500 0.2500 0.7500 x4  4 La 2.99, 4 Tm 2.99
Os 0.2500 0.2500 0.2500 x4  4 La 2.99, 4 Tm 2.99

***

No. 2
LaYNiOs | GGA-PBE | optimized geometry

## Properties
ΔH_f (0 K) in meV per atom: -148.5
Calculated total energy in eV/atom: -7.2491

a b c (Å): 6.9708 6.9708 6.9708
angles (deg): 90.00 90.00 90.00
Closest atoms and distances in Å follow each position.
Space group F-43m (No. 216)
Inequivalent atoms, fractional coordinates:
La 0.0000 0.0000 0.0000 x4  4 Ni 3.02, 4 Os 3.02
Y 0.0000 0.0000 0.5000 x4  4 Ni 3.02, 4 Os 3.02
Ni 0.2500 0.2500 0.7500 x4  4 La 3.02, 4 Y 3.02
Os 0.2500 0.2500 0.2500 x4  4 La 3.02, 4 Y 3.02